A relaxed K2SrBe crystal. Source: Alexandria via LeMat-Bulk, functional PBE.

Its volume is 330.35 Å³/cell. The value obtained for the formation energy is 657 meV per atom.

It has space group I-4m2 (No. 119), with a = 6.166 Å, b = 6.166 Å, c = 8.690 Å, α = 90.00°, β = 90.00° and γ = 90.00°. The inequivalent atoms are K at (0.000, 0.000, 0.000), K at (0.000, 0.500, 0.250), Sr at (0.000, 0.500, 0.750) and Be at (0.000, 0.000, 0.500).